# ErMgIn2Pd4 | the Alexandria database | PBE | optimized geometry
data_ErMgIn2Pd4
_chemical_formula_sum 'Er3 Mg3 In6 Pd12'
_symmetry_space_group_name_H-M 'R -3 m'
_symmetry_Int_Tables_number 166
_symmetry_space_group_name_Hall '-R 3 2"'
_cell_length_a 4.7076
_cell_length_b 4.7076
_cell_length_c 22.7303
_cell_angle_alpha 90.00
_cell_angle_beta 90.00
_cell_angle_gamma 120.00
loop_
_atom_site_label
_atom_site_type_symbol
_atom_site_fract_x
_atom_site_fract_y
_atom_site_fract_z
_atom_site_occupancy
Er1 Er 0.0000 0.0000 0.0000 1
Mg1 Mg 0.0000 0.0000 0.5000 1
In1 In 0.0000 0.0000 0.2488 1
Pd1 Pd 0.0000 0.0000 0.1263 1
Pd2 Pd 0.0000 0.0000 0.3778 1
# magnetic moment = 0.000 μB per cell
# volume = 436 Å³/cell
# electronic total energy = -4.7930 eV/atom
# calculated formation energy = -573 kJ/mol of formula units